Record 1
VASP calculation (GGA-PBE) on a relaxed NdYPd4Pb2 crystal.

- spin magnetization (Bohr magnetons per cell) = 0.01
- E (eV per atom) = -5.597

Cell: 4.7006 4.7006 9.0305 Å, 90.00 90.00 120.00°
Closest atoms and distances in Å follow each position.
Atoms (fractional coordinates):
Nd 0.0000 0.0000 0.0000  8 Pd 3.09
Y 0.6667 0.3333 0.5000  8 Pd 3.04-3.06
Pd 0.0000 0.0000 0.3423  3 Pb 2.82, 1 Pd 2.85, 3 Y 3.06, 1 Nd 3.09
Pd 0.0000 0.0000 0.6577  3 Pb 2.82, 1 Pd 2.85, 3 Y 3.06, 1 Nd 3.09
Pd 0.6667 0.3333 0.1632  3 Pb 2.85, 4 Pd 2.95-3.16, 1 Y 3.04, 3 Nd 3.09
Pd 0.6667 0.3333 0.8368  3 Pb 2.85, 4 Pd 2.95-3.16, 1 Y 3.04, 3 Nd 3.09
Pb 0.3333 0.6667 0.2578  6 Pd 2.82-2.85
Pb 0.3333 0.6667 0.7422  6 Pd 2.82-2.85


Record 2
VASP calculation (GGA-PBE) on a relaxed Hf2Ag3F14 crystal.

- spin magnetization (Bohr magnetons per cell) = 1.01
- E (eV per atom) = -5.384

Cell: 5.6603 5.6603 8.9067 Å, 91.29 91.29 72.01°
Closest atoms and distances in Å follow each position.
Atoms (fractional coordinates):
Hf 0.0924 0.0924 0.2201  7 F 1.93-2.11
Hf 0.9076 0.9076 0.7799  7 F 1.93-2.11
Ag 0.3131 0.3131 0.6074  4 F 1.98-2.18
Ag 0.5000 0.5000 0.0000  6 F 2.09-2.33
Ag 0.6869 0.6869 0.3926  4 F 1.98-2.18
F 0.0000 0.0000 0.0000  2 Hf 2.11
F 0.0099 0.6613 0.6014  1 Hf 2.06, 1 Ag 2.18
F 0.1173 0.1173 0.7218  1 Hf 2.00, 1 Ag 2.09
F 0.2302 0.6335 0.8321  1 Hf 2.05, 1 Ag 2.09
F 0.2800 0.2800 0.1254  1 Hf 1.93
F 0.3387 0.9901 0.3986  1 Hf 2.06, 1 Ag 2.18
F 0.3665 0.7698 0.1679  1 Hf 2.05, 1 Ag 2.09
F 0.5000 0.5000 0.5000  2 Ag 1.98
F 0.6335 0.2302 0.8321  1 Hf 2.05, 1 Ag 2.09
F 0.6613 0.0099 0.6014  1 Hf 2.06, 1 Ag 2.18
F 0.7200 0.7200 0.8746  1 Hf 1.93
F 0.7698 0.3665 0.1679  1 Hf 2.05, 1 Ag 2.09
F 0.8827 0.8827 0.2782  1 Hf 2.00, 1 Ag 2.09
F 0.9901 0.3387 0.3986  1 Hf 2.06, 1 Ag 2.18


Record 3
VASP calculation (GGA-PBE) on a relaxed NaAcHg crystal.

- spin magnetization (Bohr magnetons per cell) = 0.05
- ΔE to the lowest computed polymorph (eV per atom) = 0.0000

Cell: 5.3528 5.3528 5.3528 Å, 60.00 60.00 60.00°
Closest atoms and distances in Å follow each position.
Atoms (fractional coordinates):
Na 0.0000 0.0000 0.0000  4 Hg 3.28
Ac 0.5000 0.5000 0.5000  4 Hg 3.28
Hg 0.7500 0.7500 0.7500  4 Ac 3.28, 4 Na 3.28